i:
A relaxed structure of BiAsSe2F. Source: Alexandria, functional PBE.

Geometry as POSCAR:
```
BiAsSe2F
1.0
-1.027 2.600 4.474
-2.629 -4.191 1.833
3.367 -1.414 1.595
Se F Bi As
2 1 1 1
Direct
0.500 0.000 0.000
0.000 0.500 0.000
0.000 0.000 0.000
0.500 0.500 0.500
0.000 0.000 0.500
```

SG ... P4/mmm (123)

ii:
A relaxed structure of BiAsSe2F. Source: Alexandria, functional PBE.

Geometry as POSCAR:
```
BiAsSe2F
1.0
-0.364 4.401 3.275
-0.823 -3.289 4.329
5.614 -0.210 0.907
Se F As Bi
2 1 1 1
Direct
0.000 0.500 0.000
0.500 0.000 0.000
0.500 0.500 0.500
0.000 0.000 0.500
0.000 0.000 0.000
```

SG ... P4/mmm (123)

Which structure loses on stability? ii does.

i:
A relaxed structure of Fe3BiAs. Source: Alexandria, functional PBE.

Geometry as POSCAR:
```
Fe3BiAs
1.0
-1.813 -2.610 3.743
4.364 0.183 2.241
-1.330 4.155 2.252
As Fe Bi
1 3 1
Direct
0.500 0.500 0.500
0.000 0.000 0.500
0.500 0.000 0.000
0.000 0.500 0.000
0.000 0.000 0.000
```

SG ... Pm-3m (221)

ii:
A relaxed structure of Fe3BiAs. Source: Alexandria, functional PBE.

Geometry as POSCAR:
```
Fe3BiAs
1.0
4.483 0.000 0.000
0.000 4.483 0.000
0.000 0.000 4.483
Bi Fe As
1 3 1
Direct
0.500 0.500 0.500
0.000 0.500 0.000
0.000 0.000 0.500
0.500 0.000 0.000
0.000 0.000 0.000
```

SG ... Pm-3m (221)

Which structure loses on stability? i does.

i:
A relaxed structure of Fe2BiAs2. Source: Alexandria, functional PBE.

Geometry as POSCAR:
```
Fe2BiAs2
1.0
3.839 0.000 0.000
0.000 3.839 0.000
1.919 1.919 5.786
As Fe Bi
2 2 1
Direct
0.250 0.750 0.500
0.750 0.250 0.500
0.371 0.371 0.257
0.629 0.629 0.743
0.000 0.000 0.000
```

SG ... I4/mmm (139)

ii:
A relaxed structure of Fe2BiAs2. Source: Alexandria, functional PBE.

Geometry as POSCAR:
```
Fe2BiAs2
1.0
4.217 0.000 0.000
0.000 4.217 0.000
2.108 2.108 4.738
As Bi Fe
2 1 2
Direct
0.638 0.638 0.725
0.362 0.362 0.275
0.000 0.000 0.000
0.750 0.250 0.500
0.250 0.750 0.500
```

SG ... I4/mmm (139)

Which structure loses on stability? i does.

i:
A relaxed structure of GaBi2As. Source: Alexandria, functional PBE.

Geometry as POSCAR:
```
GaBi2As
1.0
6.462 0.000 0.000
0.000 6.462 0.000
3.231 3.231 6.933
As Bi Ga
2 4 2
Direct
0.000 0.000 0.000
0.750 0.250 0.500
0.619 0.125 0.250
0.375 0.381 0.750
0.875 0.869 0.750
0.131 0.625 0.250
0.250 0.750 0.500
0.500 0.500 0.000
```

SG ... I-42d (122)

ii:
A relaxed structure of GaBi2As. Source: Alexandria, functional PBE.

Geometry as POSCAR:
```
GaBi2As
1.0
2.766 2.495 3.682
-2.228 1.202 4.585
1.442 -2.528 4.355
As Bi Ga
1 2 1
Direct
0.500 0.500 0.500
0.250 0.250 0.250
0.750 0.750 0.750
0.000 0.000 0.000
```

SG ... Fm-3m (225)

Which structure loses on stability? i does.